Run i
Here is a relaxed structure of La2H2Pb from the Alexandria database. Energies are from PBE.

Structure (POSCAR):
```
La2H2Pb
1.0
-1.931 3.839 0.086
-3.465 -1.784 1.812
-0.541 1.998 6.030
La H Pb
2 2 1
direct
0.348 0.348 0.303 La
0.652 0.652 0.697 La
0.250 0.750 0.500 H
0.750 0.250 0.500 H
0.000 0.000 0.000 Pb
```

Computed properties:
M_tot = 0.00 Bohr magnetons per cell
SG = I4/mmm (139)


Run ii
Here is a relaxed structure of La2H2Pb from the Alexandria database. Energies are from PBE.

Structure (POSCAR):
```
La2H2Pb
1.0
-7.054 -1.869 3.063
-2.870 -1.119 -7.291
0.896 -3.165 0.133
H La Pb
4 4 2
direct
0.600 0.100 0.000 H
0.100 0.400 0.000 H
0.400 0.900 0.000 H
0.900 0.600 0.000 H
0.657 0.843 0.500 La
0.343 0.157 0.500 La
0.157 0.657 0.500 La
0.843 0.343 0.500 La
0.500 0.500 0.000 Pb
0.000 0.000 0.000 Pb
```

Computed properties:
M_tot = 0.00 Bohr magnetons per cell
SG = P4/mbm (127)


Result of the stability comparison: run ii is the least stable of them.


Run i
Here is a relaxed structure of LaHPb from the Alexandria database. Energies are from PBE.

Structure (POSCAR):
```
LaHPb
1.0
-2.906 3.682 0.249
-1.545 -0.925 -4.339
-0.367 -3.517 3.424
Pb H La
1 1 1
direct
0.226 0.226 0.452 Pb
0.969 0.969 0.938 H
0.655 0.655 0.309 La
```

Computed properties:
M_tot = 0.00 Bohr magnetons per cell
SG = I4mm (107)


Run ii
Here is a relaxed structure of LaHPb from the Alexandria database. Energies are from PBE.

Structure (POSCAR):
```
LaHPb
1.0
5.389 0.000 0.000
0.000 3.925 0.000
0.000 -1.962 3.399
H La Pb
1 1 1
direct
0.167 0.333 0.667 H
0.167 0.000 0.000 La
0.667 0.667 0.333 Pb
```

Computed properties:
M_tot = 0.00 Bohr magnetons per cell
SG = P-6m2 (187)


Run iii
Here is a relaxed structure of LaHPb from the Alexandria database. Energies are from PBE.

Structure (POSCAR):
```
LaHPb
1.0
3.824 0.000 0.000
1.912 3.270 -0.522
1.912 -1.419 12.025
La Pb H
2 2 2
direct
0.806 0.028 0.361 La
0.194 0.972 0.639 La
0.631 0.867 0.870 Pb
0.369 0.133 0.130 Pb
0.601 0.233 0.566 H
0.399 0.767 0.434 H
```

Computed properties:
M_tot = 0.00 Bohr magnetons per cell
SG = C2/m (12)


Run iv
Here is a relaxed structure of LaHPb from the Alexandria database. Energies are from PBE.

Structure (POSCAR):
```
LaHPb
1.0
8.173 0.000 0.000
0.000 5.309 0.361
0.000 -0.461 6.733
Pb La H
4 4 4
direct
0.322 0.500 0.083 Pb
0.178 0.500 0.583 Pb
0.678 0.500 0.917 Pb
0.822 0.500 0.417 Pb
0.888 0.001 0.744 La
0.112 0.999 0.256 La
0.612 0.001 0.244 La
0.388 0.999 0.756 La
0.135 0.999 0.919 H
0.365 0.999 0.419 H
0.865 0.001 0.081 H
0.635 0.001 0.581 H
```

Computed properties:
M_tot = 0.00 Bohr magnetons per cell
SG = P2_1/c (14)


Result of the stability comparison: run i is the least stable of them.


Run i
Here is a relaxed structure of LaHPb3 from the Alexandria database. Energies are from PBE.

Structure (POSCAR):
```
LaHPb3
1.0
5.009 0.000 0.000
0.000 5.009 0.000
0.000 0.000 5.009
La Pb H
1 3 1
direct
0.500 0.500 0.500 La
0.500 0.000 0.000 Pb
0.000 0.000 0.500 Pb
0.000 0.500 0.000 Pb
0.000 0.000 0.000 H
```

Computed properties:
M_tot = 0.00 Bohr magnetons per cell
SG = Pm-3m (221)


Run ii
Here is a relaxed structure of LaHPb3 from the Alexandria database. Energies are from PBE.

Structure (POSCAR):
```
LaHPb3
1.0
6.228 0.000 0.000
0.000 6.228 0.000
0.000 0.000 6.228
La H Pb
1 1 3
direct
0.000 0.000 0.000 La
0.500 0.500 0.500 H
0.500 0.000 0.000 Pb
0.000 0.500 0.000 Pb
0.000 0.000 0.500 Pb
```

Computed properties:
M_tot = 0.95 Bohr magnetons per cell
SG = Pm-3m (221)


Result of the stability comparison: run ii is the least stable of them.


Run i
Here is a relaxed structure of SrLa2HPb from the Alexandria database. Energies are from PBE.

Structure (POSCAR):
```
SrLa2HPb
1.0
4.908 0.000 0.000
0.000 5.930 0.000
0.000 0.000 4.908
Sr Pb H La
1 1 1 2
direct
0.500 0.500 0.500 Sr
0.000 0.500 0.000 Pb
0.000 0.000 0.000 H
0.500 0.000 0.000 La
0.000 0.000 0.500 La
```

Computed properties:
M_tot = 0.00 Bohr magnetons per cell
SG = P4/mmm (123)


Run ii
Here is a relaxed structure of SrLa2HPb from the Alexandria database. Energies are from PBE.

Structure (POSCAR):
```
SrLa2HPb
1.0
5.069 0.000 0.000
0.000 5.069 0.000
0.000 0.000 5.402
Sr La Pb H
1 2 1 1
direct
0.000 0.000 0.500 Sr
0.000 0.500 0.000 La
0.500 0.000 0.000 La
0.500 0.500 0.500 Pb
0.000 0.000 0.000 H
```

Computed properties:
M_tot = 0.00 Bohr magnetons per cell
SG = P4/mmm (123)


Result of the stability comparison: run i is the least stable of them.


Run i
Here is a relaxed structure of LaH3Pd3 from the Alexandria database. Energies are from PBE.

Structure (POSCAR):
```
LaH3Pd3
1.0
-5.153 -1.014 -1.732
-3.355 -3.192 3.022
-5.095 4.221 3.860
H Pd La
6 6 2
direct
0.044 0.776 0.662 H
0.481 0.956 0.338 H
0.224 0.481 0.338 H
0.519 0.044 0.662 H
0.956 0.224 0.338 H
0.776 0.519 0.662 H
0.363 0.777 0.677 Pd
0.637 0.223 0.323 Pd
0.818 0.637 0.323 Pd
0.223 0.818 0.323 Pd
0.182 0.363 0.677 Pd
0.777 0.182 0.677 Pd
0.687 0.687 0.939 La
0.313 0.313 0.061 La
```

Computed properties:
M_tot = 0.00 Bohr magnetons per cell
SG = R-3 (148)


Run ii
Here is a relaxed structure of LaH3Pd3 from the Alexandria database. Energies are from PBE.

Structure (POSCAR):
```
LaH3Pd3
1.0
5.597 0.000 0.000
0.000 5.597 0.000
0.000 0.000 5.597
Pd H La
6 6 2
direct
0.500 0.000 0.250 Pd
0.000 0.750 0.500 Pd
0.500 0.000 0.750 Pd
0.750 0.500 0.000 Pd
0.250 0.500 0.000 Pd
0.000 0.250 0.500 Pd
0.500 0.250 0.000 H
0.250 0.000 0.500 H
0.000 0.500 0.250 H
0.500 0.750 0.000 H
0.750 0.000 0.500 H
0.000 0.500 0.750 H
0.000 0.000 0.000 La
0.500 0.500 0.500 La
```

Computed properties:
M_tot = 0.00 Bohr magnetons per cell
SG = Pm-3n (223)


Result of the stability comparison: run i is the least stable of them.


Run i
Here is a relaxed structure of La2HPd from the Alexandria database. Energies are from PBE.

Structure (POSCAR):
```
La2HPd
1.0
3.929 0.000 0.000
1.965 3.403 0.000
1.965 1.134 7.100
H La Pd
1 2 1
direct
0.500 0.500 0.501 H
0.246 0.246 0.262 La
0.088 0.088 0.736 La
0.666 0.666 0.002 Pd
```

Computed properties:
M_tot = 0.00 Bohr magnetons per cell
SG = R3m (160)


Run ii
Here is a relaxed structure of La2HPd from the Alexandria database. Energies are from PBE.

Structure (POSCAR):
```
La2HPd
1.0
-3.255 1.010 2.417
0.080 -0.874 4.085
1.552 5.689 3.325
La Pd H
2 1 1
direct
0.757 0.757 0.729 La
0.243 0.243 0.271 La
0.000 0.000 0.000 Pd
0.500 0.500 0.500 H
```

Computed properties:
M_tot = 0.00 Bohr magnetons per cell
SG = R-3m (166)


Result of the stability comparison: run i is the least stable of them.